A relaxed structure of BeAg2As, computed with PBE.

Cell: 8.664 8.664 8.664 Å, 19.68 19.68 19.68°
Element x y z (fractional)
1 Be 0.750 0.750 0.750
2 As 0.250 0.250 0.250
3 Ag 0.011 0.011 0.011
4 Ag 0.489 0.489 0.489

Values from the calculation:
The calculation puts the mass density at 7.71 g/cm³. As for the volume: 65 Å³/f.u. The total energy comes out at -12.94 eV for the cell shown.

=====

A relaxed structure of TbTmMnOs, computed with PBE.

Cell: 4.880 4.880 4.880 Å, 60.00 60.00 60.00°
Site moments in Bohr magnetons follow the coordinates.
Element x y z (fractional)
1 Tb 0.750 0.750 0.750  -0.12
2 Tm 0.250 0.250 0.250  -0.12
3 Os 0.500 0.500 0.500  0.17
4 Mn 0.000 0.000 0.000  3.59

Values from the calculation:
The calculation puts the mass density at 11.58 g/cm³. As for the volume: 82 Å³/f.u. The total energy comes out at -29.60 eV for the cell shown.

=====

A relaxed structure of Ho2ErAg, computed with PBE.

Cell: 3.558 3.558 10.490 Å, 80.21 80.21 59.96°
Element x y z (fractional)
1 Ho 0.075 0.075 0.774
2 Ho 0.258 0.258 0.226
3 Er 0.500 0.500 0.500
4 Ag 0.667 0.667 0.000

Values from the calculation:
The calculation puts the mass density at 8.91 g/cm³. As for the volume: 113 Å³/f.u. The total energy comes out at -16.63 eV for the cell shown.

=====

no.,DOS at the Fermi energy (states/eV/cell),energy of formation (kJ/mol of formula units)
1,2.7,110.2
2,2.4,-9.7
3,5.7,-5.3